VASP calculation (GGA-PBE) on a relaxed structure of TcMoIrRh.

abc: 3.859 3.863 3.930
angles: 90.00 90.00 90.00
Fractional coordinates of all 4 atoms:
Tc 0.000 0.000 0.000
Mo 0.500 0.500 0.000
Ir 0.500 0.000 0.500
Rh 0.000 0.500 0.500

- symmetry = Pmmm
- calculated total energy (eV/cell) = -38.3
- formation enthalpy at 0 K (eV/atom) = -0.215
- total magnetic moment (μB per formula unit) = 0.0

***

VASP calculation (GGA-PBE) on a relaxed structure of ReHg2Pb.

abc: 6.082 6.082 3.375
angles: 105.12 105.12 123.40
Fractional coordinates of all 4 atoms:
Re 0.000 0.000 0.000
Hg 0.000 0.500 0.000
Hg 0.500 0.000 0.000
Pb 0.500 0.500 0.000

- symmetry = C2/m
- calculated total energy (eV/cell) = -13.2
- formation enthalpy at 0 K (eV/atom) = 0.890
- total magnetic moment (μB per formula unit) = 0.6